Below is crystalline BePdRh at its relaxed geometry, with properties calculated at the PBE level.

Unit cell a=6.742 b=6.742 c=2.869 alpha=90.00 beta=90.00 gamma=120.00
Fractional coordinates of all 9 atoms:
Be (0.000, 0.000, 0.000)
Be (0.333, 0.667, 0.500)
Be (0.667, 0.333, 0.500)
Pd (0.000, 0.400, 0.000)
Pd (0.400, 0.000, 0.000)
Pd (0.600, 0.600, 0.000)
Rh (0.000, 0.743, 0.500)
Rh (0.257, 0.257, 0.500)
Rh (0.743, 0.000, 0.500)

Values from the calculation:
The calculation puts the density of states at the Fermi level at 1.35 states/eV/atom. The energy of formation from the pure elements is -0.2676 eV/atom.

***

Below is crystalline Be3PdRh2 at its relaxed geometry, with properties calculated at the PBE level.

Unit cell a=2.806 b=2.806 c=8.371 alpha=90.00 beta=90.00 gamma=90.00
Fractional coordinates of all 6 atoms:
Be (0.000, 0.000, 0.000)
Be (0.000, 0.000, 0.319)
Be (0.000, 0.000, 0.681)
Pd (0.500, 0.500, 0.500)
Rh (0.500, 0.500, 0.166)
Rh (0.500, 0.500, 0.834)

Values from the calculation:
The calculation puts the density of states at the Fermi level at 0.32 states/eV/atom. The energy of formation from the pure elements is -0.6468 eV/atom.

***

Below is crystalline BePd2Rh at its relaxed geometry, with properties calculated at the PBE level.

Unit cell a=2.754 b=2.754 c=6.926 alpha=90.00 beta=90.00 gamma=90.00
Fractional coordinates of all 4 atoms:
Be (0.000, 0.000, 0.000)
Pd (0.500, 0.500, 0.205)
Pd (0.500, 0.500, 0.795)
Rh (0.000, 0.000, 0.500)

Values from the calculation:
The calculation puts the density of states at the Fermi level at 1.08 states/eV/atom. The energy of formation from the pure elements is -0.2689 eV/atom.

***

Below is crystalline Be2PdRh at its relaxed geometry, with properties calculated at the PBE level.

Unit cell a=5.018 b=5.018 c=5.018 alpha=107.25 beta=107.25 gamma=114.01
Fractional coordinates of all 8 atoms:
Be (0.121, 0.625, 0.996)
Be (0.375, 0.371, 0.496)
Be (0.629, 0.125, 0.004)
Be (0.875, 0.879, 0.504)
Pd (0.250, 0.750, 0.500)
Pd (0.500, 0.500, 0.000)
Rh (0.000, 0.000, 0.000)
Rh (0.750, 0.250, 0.500)

Values from the calculation:
The calculation puts the density of states at the Fermi level at 0.49 states/eV/atom. The energy of formation from the pure elements is -0.1812 eV/atom.

***

Below is crystalline Be4PdRh at its relaxed geometry, with properties calculated at the PBE level.

Unit cell a=4.387 b=4.387 c=4.387 alpha=60.00 beta=60.00 gamma=60.00
Fractional coordinates of all 6 atoms:
Be (0.125, 0.125, 0.125)
Be (0.125, 0.125, 0.626)
Be (0.125, 0.626, 0.125)
Be (0.626, 0.125, 0.125)
Pd (0.500, 0.500, 0.500)
Rh (0.750, 0.750, 0.750)

Values from the calculation:
The calculation puts the density of states at the Fermi level at 0.64 states/eV/atom. The energy of formation from the pure elements is -0.4201 eV/atom.

***

Below is crystalline Be2PdRh at its relaxed geometry, with properties calculated at the PBE level.

Unit cell a=2.813 b=2.813 c=5.599 alpha=90.00 beta=90.00 gamma=90.00
Fractional coordinates of all 4 atoms:
Be (0.000, 0.000, 0.230)
Be (0.000, 0.000, 0.770)
Pd (0.500, 0.500, 0.500)
Rh (0.500, 0.500, 0.000)

Values from the calculation:
The calculation puts the density of states at the Fermi level at 0.14 states/eV/atom. The energy of formation from the pure elements is -0.6658 eV/atom.

***

Number 1: calculated total energy -51.220 eV for the cell shown. Number 2: calculated total energy -34.955 eV for the cell shown. Number 3: calculated total energy -22.539 eV for the cell shown. Number 4: calculated total energy -41.443 eV for the cell shown. Number 5: calculated total energy -29.970 eV for the cell shown. Number 6: calculated total energy -22.660 eV for the cell shown.